Compound: Pm3NdPu2Se6
Source: the Alexandria database
Functional: PBE-GGA
Structure: optimized geometry

Values from the calculation:
Symmetry: C2/m, No. 12
Uncorrected formation energy: -1.7522 eV per atom
Energy: -7.47 eV/atom

Structure (CIF):
```
data_Pm3NdPu2Se6
_chemical_formula_sum 'Pm3 Nd1 Pu2 Se6'
_cell_length_a 7.236
_cell_length_b 7.236
_cell_length_c 7.270
_cell_angle_alpha 99.54
_cell_angle_beta 99.54
_cell_angle_gamma 120.04
_symmetry_space_group_name_H-M 'P 1'
_symmetry_Int_Tables_number 1
loop_
_symmetry_equiv_pos_as_xyz
'x,y,z'
loop_
_atom_site_label
_atom_site_fract_x
_atom_site_fract_y
_atom_site_fract_z
Pu1 0.333 0.667 0.000
Pu2 0.667 0.333 0.000
Se1 0.579 0.917 0.752
Se2 0.744 0.744 0.247
Se3 0.083 0.421 0.248
Se4 0.421 0.083 0.248
Se5 0.917 0.579 0.752
Se6 0.256 0.256 0.753
Pm1 0.165 0.835 0.500
Pm2 0.835 0.165 0.500
Pm3 0.500 0.500 0.500
Nd1 0.000 0.000 0.000
```


Compound: Pm2ScZn
Source: the Alexandria database
Functional: PBE-GGA
Structure: optimized geometry

Values from the calculation:
Symmetry: Fm-3m, No. 225
Formation energy: -0.1 eV per formula unit
E above lowest polymorph: 0.41 eV/f.u.
Energy: -4.29 eV/atom

Structure (CIF):
```
data_Pm2ScZn
_chemical_formula_sum 'Pm2 Sc1 Zn1'
_cell_length_a 5.312
_cell_length_b 5.312
_cell_length_c 5.312
_cell_angle_alpha 60.00
_cell_angle_beta 60.00
_cell_angle_gamma 60.00
_symmetry_space_group_name_H-M 'P 1'
_symmetry_Int_Tables_number 1
loop_
_symmetry_equiv_pos_as_xyz
'x,y,z'
loop_
_atom_site_label
_atom_site_fract_x
_atom_site_fract_y
_atom_site_fract_z
Zn1 0.000 0.000 0.000
Sc1 0.500 0.500 0.500
Pm1 0.250 0.250 0.250
Pm2 0.750 0.750 0.750
```


Compound: LiCuSi2O
Source: the Alexandria database
Functional: PBE-GGA
Structure: optimized geometry

Values from the calculation:
Symmetry: P4/mmm, No. 123
Uncorrected formation energy: 0.3833 eV per atom
Energy: -3.98 eV/atom

Structure (CIF):
```
data_LiCuSi2O
_chemical_formula_sum 'Li1 Cu1 Si2 O1'
_cell_length_a 4.761
_cell_length_b 3.637
_cell_length_c 4.761
_cell_angle_alpha 90.00
_cell_angle_beta 90.00
_cell_angle_gamma 90.00
_symmetry_space_group_name_H-M 'P 1'
_symmetry_Int_Tables_number 1
loop_
_symmetry_equiv_pos_as_xyz
'x,y,z'
loop_
_atom_site_label
_atom_site_fract_x
_atom_site_fract_y
_atom_site_fract_z
Si1 0.500 0.000 0.000
Si2 0.000 0.000 0.500
Li1 0.500 0.500 0.500
O1 0.000 0.500 0.000
Cu1 0.000 0.000 0.000
```


Sequential M_tot output: 11.6 0.0 0.0 μB/f.u.